# CeSiGeRh

Crystalline CeSiGeRh at its relaxed geometry (PBE, Alexandria). Values from VASP.

Quantum ESPRESSO input file:
```
&SYSTEM
  ibrav = 0, nat = 8, ntyp = 4
/
ATOMIC_SPECIES
Ce 140.12 Ce.upf
Rh 102.91 Rh.upf
Ge 72.64 Ge.upf
Si 28.09 Si.upf
CELL_PARAMETERS angstrom
4.1150 0.0000 0.0000
0.0000 4.1150 0.0000
0.0000 0.0000 9.1588
ATOMIC_POSITIONS crystal
Ce 0.0000 0.5000 0.7904
Ce 0.5000 0.0000 0.2096
Rh 0.5000 0.5000 0.5000
Rh 0.0000 0.0000 0.5000
Ge 0.5000 0.0000 0.8951
Ge 0.0000 0.5000 0.1049
Si 0.0000 0.5000 0.3648
Si 0.5000 0.0000 0.6352
```

Values from the calculation:
Calculated volume   19.39 Å³/atom
Energy relative to the elements, uncorrected   -0.820 eV/atom
Total magnetization   0.00 μB/cell
Mass density   7.36 Mg/m³
Symmetry   No. 129